## KV2B2O6 (GGA+U)

Data for KV2B2O6 after structural relaxation.

abc: 5.446 5.565 5.607
angles: 115.81 116.03 91.13
Atoms (fractional coordinates):
1 K 0.000 0.000 0.000
2 V 0.330 0.691 0.651
3 V 0.670 0.309 0.349
4 B 0.292 0.275 0.709
5 B 0.708 0.725 0.291
6 O 0.091 0.428 0.713
7 O 0.363 0.125 0.860
8 O 0.426 0.303 0.557
9 O 0.574 0.697 0.443
10 O 0.637 0.875 0.140
11 O 0.909 0.572 0.287

Results
Space-group type: No. 2
M_tot (μB/cell): 5.0
Raw total energy (eV per atom): -7.408